# 1
## Ag6GeS4Cl2 (PBEsol)

Data for a geometry-optimized Ag6GeS4Cl2 structure.

Formation energy (no corrections), meV/atom: -242.4
Crystal system: orthorhombic

CIF file:
```
data_Ag6GeS4Cl2
_chemical_formula_sum 'Ag24 Ge4 S16 Cl8'
_space_group_name_H-M_alt 'P n m a'
_space_group_IT_number 62
_cell_length_a 6.074
_cell_length_b 7.547
_cell_length_c 23.165
_cell_angle_alpha 90.00
_cell_angle_beta 90.00
_cell_angle_gamma 90.00
loop_
_space_group_symop_operation_xyz
'x,y,z'
'-x,-y,-z'
'-x+1/2,-y,z+1/2'
'x+1/2,y,-z+1/2'
'x+1/2,-y+1/2,-z+1/2'
'-x+1/2,y+1/2,z+1/2'
'-x,y+1/2,-z'
'x,-y+1/2,z'
loop_
_atom_site_label
_atom_site_fract_x
_atom_site_fract_y
_atom_site_fract_z
Ag1 0.000 0.000 0.000
Ag2 0.049 0.059 0.442
Ag3 0.077 0.750 0.148
Ag4 0.140 0.038 0.275
Ge1 0.032 0.250 0.130
S1 0.169 0.504 0.870
S2 0.207 0.250 0.043
S3 0.227 0.750 0.702
Cl1 0.096 0.250 0.713
Cl2 0.166 0.250 0.549
```

# 2
## Ag2GeTeCl (PBEsol)

Data for a geometry-optimized Ag2GeTeCl structure.

Formation energy (no corrections), meV/atom: 398.4
Crystal system: tetragonal

CIF file:
```
data_Ag2GeTeCl
_chemical_formula_sum 'Ag2 Ge1 Te1 Cl1'
_space_group_name_H-M_alt 'P 4/m m m'
_space_group_IT_number 123
_space_group_name_Hall '-P 4 2'
_cell_length_a 4.954
_cell_length_b 4.954
_cell_length_c 5.157
_cell_angle_alpha 90.00
_cell_angle_beta 90.00
_cell_angle_gamma 90.00
loop_
_atom_site_label
_atom_site_fract_x
_atom_site_fract_y
_atom_site_fract_z
Ag1 0.000 0.500 0.000
Ge1 0.000 0.000 0.000
Te1 0.000 0.000 0.500
Cl1 0.500 0.500 0.500
```

# 3
## Ti2AgGeCl (PBEsol)

Data for a geometry-optimized Ti2AgGeCl structure.

Formation energy (no corrections), meV/atom: 726.8
Crystal system: tetragonal

CIF file:
```
data_Ti2AgGeCl
_chemical_formula_sum 'Ti2 Ag1 Ge1 Cl1'
_space_group_name_H-M_alt 'P 4/m m m'
_space_group_IT_number 123
_space_group_name_Hall '-P 4 2'
_cell_length_a 4.852
_cell_length_b 4.852
_cell_length_c 4.897
_cell_angle_alpha 90.00
_cell_angle_beta 90.00
_cell_angle_gamma 90.00
loop_
_atom_site_label
_atom_site_fract_x
_atom_site_fract_y
_atom_site_fract_z
Ti1 0.000 0.500 0.000
Ag1 0.000 0.000 0.500
Ge1 0.500 0.500 0.000
Cl1 0.500 0.500 0.500
```

# 4
## AgHCl2 (PBEsol)

Data for a geometry-optimized AgHCl2 structure.

E_tot, hartree per atom: -0.1129
Crystal system: trigonal

CIF file:
```
data_AgHCl2
_chemical_formula_sum 'Ag3 H3 Cl6'
_space_group_name_H-M_alt 'R -3 m'
_space_group_IT_number 166
_space_group_name_Hall '-R 3 2"'
_cell_length_a 4.0577
_cell_length_b 4.0577
_cell_length_c 17.4280
_cell_angle_alpha 90.00
_cell_angle_beta 90.00
_cell_angle_gamma 120.00
loop_
_atom_site_label
_atom_site_fract_x
_atom_site_fract_y
_atom_site_fract_z
Ag1 0.0000 0.0000 0.0000
H1 0.0000 0.0000 0.5000
Cl1 0.0000 0.0000 0.4108
```

# 5
## AgH2Cl (PBEsol)

Data for a geometry-optimized AgH2Cl structure.

E_tot, hartree per atom: -0.0763
Crystal system: cubic

CIF file:
```
data_AgH2Cl
_chemical_formula_sum 'Ag4 H8 Cl4'
_space_group_name_H-M_alt 'F m -3 m'
_space_group_IT_number 225
_space_group_name_Hall '-F 4 2 3'
_cell_length_a 5.647
_cell_length_b 5.647
_cell_length_c 5.647
_cell_angle_alpha 90.00
_cell_angle_beta 90.00
_cell_angle_gamma 90.00
loop_
_atom_site_label
_atom_site_fract_x
_atom_site_fract_y
_atom_site_fract_z
Ag1 0.000 0.000 0.000
H1 0.250 0.250 0.250
Cl1 0.000 0.000 0.500
```

# 6
## Y2AgHCl (PBEsol)

Data for a geometry-optimized Y2AgHCl structure.

E_tot, hartree per atom: -0.1759
Crystal system: tetragonal

CIF file:
```
data_Y2AgHCl
_chemical_formula_sum 'Y2 Ag1 H1 Cl1'
_space_group_name_H-M_alt 'P 4/m m m'
_space_group_IT_number 123
_space_group_name_Hall '-P 4 2'
_cell_length_a 4.540
_cell_length_b 4.540
_cell_length_c 4.697
_cell_angle_alpha 90.00
_cell_angle_beta 90.00
_cell_angle_gamma 90.00
loop_
_atom_site_label
_atom_site_fract_x
_atom_site_fract_y
_atom_site_fract_z
Y1 0.000 0.500 0.000
Ag1 0.000 0.000 0.500
H1 0.500 0.500 0.000
Cl1 0.500 0.500 0.500
```